## Sr2CrGeO6 (PBE with a Hubbard U)

Data for Sr2CrGeO6 after structural relaxation.

Properties
* D(E_F): 0.663 states/eV/atom
* space group: No. 225
* uncorrected energy: -6.70 eV per atom
* crystal system: cubic

a = 5.4930 Å, b = 5.4930 Å, c = 5.4930 Å
α = 60.00°, β = 60.00°, γ = 60.00°
Fractional coordinates of all 10 atoms:
Sr: 0.2500 0.2500 0.2500
Sr: 0.7500 0.7500 0.7500
Cr: 0.0000 0.0000 0.0000
Ge: 0.5000 0.5000 0.5000
O: 0.2541 0.2541 0.7459
O: 0.2541 0.7459 0.2541
O: 0.2541 0.7459 0.7459
O: 0.7459 0.2541 0.2541
O: 0.7459 0.2541 0.7459
O: 0.7459 0.7459 0.2541